# RbMoIO2

RbMoIO2 after structural relaxation (GGA+U, Alexandria via LeMat-Bulk).

Cell: 4.7929 4.7929 7.2262 Å, 90.00 90.00 90.00°
Last column: nearest neighbours and their distance in Å.
Fractional coordinates of all 5 atoms:
Mo 0.5000 0.5000 0.5000  4 I 3.39
I 0.0000 0.0000 0.5000  4 Mo 3.39, 2 Rb 3.61
Rb 0.0000 0.0000 0.0000  4 O 2.40
O 0.0000 0.5000 0.0000  2 Rb 2.40
O 0.5000 0.0000 0.0000  2 Rb 2.40

Values from the calculation:
For the raw total energy, the calculation gives -3.1664 eV/atom.